Material: HfPdRhAu
Method: DFT, PBE-GGA
State: relaxed

Cell: 3.8450 4.0256 4.2509 Å, 90.00 90.00 90.00°
Positions (direct):
Rh 0.5000 0.5000 0.0000
Pd 0.5000 0.0000 0.5000
Au 0.0000 0.5000 0.5000
Hf 0.0000 0.0000 0.0000

The final energy comes out at -28.82 eV/cell.